# 1
Computed, not measured: a relaxed structure of CePaOs at the PBE-GGA level of DFT.

The space group is F-43m (No. 216) and the conventional cell measures 6.755, 6.755 and 6.755 Å, with angles of 90.00, 90.00 and 90.00 degrees. Symmetry generates all atoms from Ce at (0.000, 0.000, 0.000), Pa at (0.000, 0.000, 0.500) and Os at (0.250, 0.250, 0.750).

As for the crystal system: cubic. The value obtained for the total magnetic moment is 0.5419 μB/atom. The total energy is -106.27 eV/cell. The value obtained for the energy above the most stable polymorph in this dataset is 0.233 eV/atom.

***

# 2
Computed, not measured: a relaxed structure of CePaOs at the PBE-GGA level of DFT.

The space group is P2_1/m (No. 11) and the conventional cell measures 5.569, 4.660 and 5.579 Å, with angles of 90.00, 107.23 and 90.00 degrees. Symmetry generates all atoms from Ce at (0.227, 0.250, 0.066), Pa at (0.169, 0.750, 0.565) and Os at (0.458, 0.250, 0.668).

As for the crystal system: monoclinic. The value obtained for the total magnetic moment is 0.0000 μB/atom. The total energy is -54.46 eV/cell. The value obtained for the energy above the most stable polymorph in this dataset is 0.013 eV/atom.

***

# 3
Computed, not measured: a relaxed structure of Ce2PaOs at the PBE-GGA level of DFT.

The space group is R-3m (No. 166, hexagonal axes) and the conventional cell measures 3.0690, 3.0690 and 32.0499 Å, with angles of 90.00, 90.00 and 120.00 degrees. Symmetry generates all atoms from Ce at (0.0000, 0.0000, 0.0938), Pa at (0.0000, 0.0000, 0.0000) and Os at (0.0000, 0.0000, 0.5000).

As for the crystal system: trigonal. The value obtained for the total magnetic moment is 0.0000 μB/atom. The total energy is -95.28 eV/cell. The value obtained for the energy above the most stable polymorph in this dataset is 0.228 eV/atom.

***

# 4
Computed, not measured: a relaxed structure of CePaOs4 at the PBE-GGA level of DFT.

The space group is F-43m (No. 216) and the conventional cell measures 7.610, 7.610 and 7.610 Å, with angles of 90.00, 90.00 and 90.00 degrees. Symmetry generates all atoms from Ce at (0.000, 0.000, 0.000), Pa at (0.250, 0.250, 0.250) and Os at (0.125, 0.125, 0.625).

As for the crystal system: cubic. The value obtained for the total magnetic moment is 0.0001 μB/atom. The total energy is -247.32 eV/cell.

***

# 5
Computed, not measured: a relaxed structure of CePaOs at the PBE-GGA level of DFT.

The space group is P-1 (No. 2) and the conventional cell measures 3.706, 5.826 and 7.116 Å, with angles of 78.68, 74.95 and 71.48 degrees. Symmetry generates all atoms from Ce at (0.162, 0.242, 0.437), Pa at (0.429, 0.291, 0.852) and Os at (0.157, 0.829, 0.857).

As for the crystal system: triclinic. The value obtained for the total magnetic moment is 0.0000 μB/atom. The total energy is -54.54 eV/cell. The value obtained for the energy above the most stable polymorph in this dataset is 0.000 eV/atom.

***

# 6
Computed, not measured: a relaxed structure of CePaOs at the PBE-GGA level of DFT.

The space group is P3m1 (No. 156) and the conventional cell measures 4.4477, 4.4477 and 3.9111 Å, with angles of 90.00, 90.00 and 120.00 degrees. Symmetry generates all atoms from Ce at (0.0000, 0.0000, 0.0000), Pa at (0.3333, 0.6667, 0.6388) and Os at (0.6667, 0.3333, 0.3420).

As for the crystal system: trigonal. The value obtained for the total magnetic moment is 0.0000 μB/atom. The total energy is -27.02 eV/cell. The value obtained for the energy above the most stable polymorph in this dataset is 0.081 eV/atom.

***

# 7
Computed, not measured: a relaxed structure of CePaOs at the PBE-GGA level of DFT.

The space group is C2/m (No. 12) and the conventional cell measures 12.712, 3.392 and 6.805 Å, with angles of 90.00, 111.25 and 90.00 degrees. Symmetry generates all atoms from Ce at (0.149, 0.000, 0.096), Pa at (0.142, 0.000, 0.518) and Os at (0.046, 0.500, 0.735).

As for the crystal system: monoclinic. The value obtained for the total magnetic moment is 0.0000 μB/atom. The total energy is -107.95 eV/cell. The value obtained for the energy above the most stable polymorph in this dataset is 0.093 eV/atom.

***

# 8
Computed, not measured: a relaxed structure of CePa2Os at the PBE-GGA level of DFT.

The space group is P4/mmm (No. 123) and the conventional cell measures 5.168, 5.168 and 3.236 Å, with angles of 90.00, 90.00 and 90.00 degrees. Symmetry generates all atoms from Ce at (0.000, 0.000, 0.000), Pa at (0.000, 0.500, 0.500) and Os at (0.500, 0.500, 0.000).

As for the crystal system: tetragonal. The value obtained for the total magnetic moment is 0.0000 μB/atom. The total energy is -36.34 eV/cell. The value obtained for the energy above the most stable polymorph in this dataset is 0.035 eV/atom.

***

- The highest total magnetic moment belongs to which entry?
  number 1

***

Copy entry 6 word for word.
Computed, not measured: a relaxed structure of CePaOs at the PBE-GGA level of DFT.

The space group is P3m1 (No. 156) and the conventional cell measures 4.4477, 4.4477 and 3.9111 Å, with angles of 90.00, 90.00 and 120.00 degrees. Symmetry generates all atoms from Ce at (0.0000, 0.0000, 0.0000), Pa at (0.3333, 0.6667, 0.6388) and Os at (0.6667, 0.3333, 0.3420).

As for the crystal system: trigonal. The value obtained for the total magnetic moment is 0.0000 μB/atom. The total energy is -27.02 eV/cell. The value obtained for the energy above the most stable polymorph in this dataset is 0.081 eV/atom.

***

- Number 5 is which compound?
  CePaOs